# 1
The following is a DFT calculation (PBE-GGA) of a relaxed CsAlCoSe3 crystal.

a b c (Å): 8.243 8.243 10.508
angles (deg): 90.00 90.00 153.39
Each line ends with the local moment (μB).
Positions (direct):
Cs 0.745 0.255 0.750  0.01
Cs 0.255 0.745 0.250  0.01
Co 0.464 0.536 0.750  2.00
Se 0.395 0.605 0.952  0.09
Co 0.536 0.464 0.250  2.01
Se 0.395 0.605 0.548  0.09
Se 0.948 0.052 0.250  0.14
Se 0.605 0.395 0.048  0.09
Al 0.000 0.000 0.000  0.00
Se 0.052 0.948 0.750  0.14
Se 0.605 0.395 0.452  0.09
Al 0.000 0.000 0.500  0.00

Values from the calculation:
Its space-group type is Cmcm. The crystal system is orthorhombic. The total energy comes out at -52.2 eV/cell.

=====

# 2
The following is a DFT calculation (PBE-GGA) of a relaxed CsAlCoSe3 crystal.

a b c (Å): 9.405 3.764 10.051
angles (deg): 90.00 113.94 90.00
Each line ends with the local moment (μB).
Positions (direct):
Co 0.565 0.250 0.591  1.67
Se 0.701 0.750 0.557  0.13
Co 0.435 0.750 0.409  1.67
Al 0.157 0.250 0.121  0.01
Cs 0.716 0.250 0.250  0.01
Se 0.984 0.750 0.150  0.01
Se 0.354 0.750 0.148  0.09
Se 0.299 0.250 0.443  0.13
Se 0.016 0.250 0.850  0.01
Cs 0.284 0.750 0.750  0.01
Al 0.843 0.750 0.879  0.01
Se 0.646 0.250 0.852  0.09

Values from the calculation:
Its space-group type is P2_1/m. The crystal system is monoclinic. The total energy comes out at -52.9 eV/cell.

=====

# 3
The following is a DFT calculation (PBE-GGA) of a relaxed AlCo2Cu crystal.

a b c (Å): 4.035 4.035 4.035
angles (deg): 60.00 60.00 60.00
Each line ends with the local moment (μB).
Positions (direct):
Al 0.000 0.000 0.000  -0.02
Cu 0.250 0.250 0.250  -0.02
Co 0.500 0.500 0.500  1.43
Co 0.750 0.750 0.750  1.21

Values from the calculation:
Its space-group type is F-43m. The crystal system is cubic. The total energy comes out at -22.2 eV/cell.

=====

# 4
The following is a DFT calculation (PBE-GGA) of a relaxed Al12Co4Cu crystal.

a b c (Å): 8.020 8.600 12.363
angles (deg): 106.04 90.00 117.79
Positions (direct):
Al 0.331 0.661 0.282
Al 0.763 0.527 0.043
Al 0.301 0.602 0.774
Cu 0.502 0.004 0.505
Co 0.605 0.210 0.373
Al 0.396 0.361 0.340
Co 0.401 0.803 0.987
Al 0.766 0.531 0.472
Al 0.743 0.021 0.677
Al 0.252 0.003 0.003
Al 0.596 0.747 0.115
Co 0.094 0.188 0.000
Al 0.039 0.646 0.667
Al 0.423 0.264 0.525
Al 0.163 0.742 0.483
Co 0.915 0.830 0.614
Al 0.602 0.632 0.890
Al 0.237 0.474 0.538
Cu 0.093 0.185 0.792
Co 0.600 0.639 0.284
Co 0.603 0.206 0.021
Al 0.971 0.373 0.118
Al 0.670 0.340 0.723
Al 0.260 0.984 0.331
Al 0.724 0.984 0.331
Co 0.039 0.639 0.284
Co 0.403 0.367 0.723
Co 0.910 0.819 0.008
Al 0.481 0.962 0.835
Co 0.964 0.367 0.723
Al 0.607 0.646 0.667
Al 0.964 0.361 0.340
Co 0.398 0.797 0.635
Cu 0.912 0.823 0.217
Al 0.945 0.891 0.828
Al 0.077 0.153 0.591
Co 0.088 0.176 0.394
Al 0.703 0.405 0.236
Al 0.058 0.116 0.179
Al 0.523 0.045 0.172
Al 0.751 0.003 0.003
Al 0.409 0.262 0.893
Al 0.841 0.264 0.525
Al 0.241 0.482 0.968
Al 0.030 0.632 0.890
Al 0.277 0.021 0.677
Al 0.579 0.742 0.483
Al 0.853 0.262 0.893
Al 0.402 0.373 0.118
Al 0.926 0.851 0.416
Al 0.151 0.747 0.115

Values from the calculation:
Its space-group type is Cm. The crystal system is monoclinic. The total energy comes out at -252.5 eV/cell.

=====

# 5
The following is a DFT calculation (PBE-GGA) of a relaxed AlCoCu crystal.

a b c (Å): 3.909 3.909 3.909
angles (deg): 60.00 60.00 60.00
Positions (direct):
Co 0.000 0.000 0.000
Cu 0.750 0.750 0.750
Al 0.250 0.250 0.250

Values from the calculation:
Its space-group type is F-43m. The crystal system is cubic. The total energy comes out at -14.2 eV/cell.

=====

# 6
The following is a DFT calculation (PBE-GGA) of a relaxed Al38Co12Cu crystal.

a b c (Å): 8.125 8.594 12.385
angles (deg): 105.90 90.00 118.21
Positions (direct):
Al 0.920 0.840 0.423
Co 0.398 0.795 0.986
Co 0.078 0.157 0.386
Al 0.673 0.345 0.723
Al 0.396 0.349 0.336
Al 0.706 0.412 0.238
Co 0.089 0.178 0.987
Al 0.043 0.642 0.670
Al 0.583 0.737 0.113
Al 0.033 0.626 0.889
Al 0.932 0.864 0.829
Al 0.155 0.737 0.113
Co 0.397 0.349 0.724
Co 0.042 0.642 0.282
Al 0.233 0.466 0.523
Al 0.064 0.128 0.176
Al 0.267 0.978 0.336
Al 0.158 0.729 0.480
Al 0.423 0.261 0.526
Al 0.403 0.364 0.116
Al 0.953 0.349 0.336
Al 0.523 0.046 0.172
Al 0.076 0.152 0.584
Al 0.242 0.484 0.980
Al 0.090 0.180 0.790
Co 0.600 0.642 0.282
Al 0.247 0.996 0.002
Co 0.598 0.196 0.020
Cu 0.498 0.996 0.503
Co 0.604 0.209 0.373
Al 0.415 0.255 0.892
Al 0.321 0.643 0.281
Al 0.754 0.509 0.029
Al 0.283 0.012 0.671
Co 0.917 0.833 0.620
Al 0.749 0.996 0.002
Co 0.907 0.814 0.020
Al 0.907 0.815 0.217
Al 0.763 0.525 0.483
Al 0.840 0.255 0.892
Al 0.571 0.729 0.480
Al 0.593 0.626 0.889
Co 0.953 0.349 0.724
Al 0.599 0.642 0.670
Al 0.838 0.261 0.526
Al 0.289 0.577 0.768
Al 0.729 0.012 0.671
Co 0.391 0.782 0.632
Al 0.711 0.978 0.336
Al 0.961 0.364 0.116
Al 0.472 0.945 0.834

Values from the calculation:
Its space-group type is Cm. The crystal system is monoclinic. The total energy comes out at -251.8 eV/cell.

=====

# 7
The following is a DFT calculation (PBE-GGA) of a relaxed Gd2DyAl3CoCu2 crystal.

a b c (Å): 4.050 6.986 6.986
angles (deg): 120.18 90.00 90.00
Each line ends with the local moment (μB).
Positions (direct):
Al 0.500 0.000 0.773  0.00
Cu 0.500 0.666 0.336  0.00
Al 0.500 0.773 0.000  0.00
Gd 0.000 0.000 0.411  0.01
Dy 0.000 0.590 0.590  0.01
Cu 0.500 0.336 0.666  0.00
Co 0.000 0.998 0.998  0.07
Gd 0.000 0.411 0.000  0.00
Al 0.500 0.227 0.227  0.00

Values from the calculation:
Its space-group type is Amm2. The crystal system is orthorhombic. The total energy comes out at -43.6 eV/cell.

=====

# 8
The following is a DFT calculation (PBE-GGA) of a relaxed NdDy2Al3CoCu2 crystal.

a b c (Å): 4.088 6.971 6.971
angles (deg): 119.17 90.00 90.00
Each line ends with the local moment (μB).
Positions (direct):
Dy 0.000 0.999 0.408  0.01
Cu 0.500 0.668 0.326  0.01
Al 0.500 0.225 0.225  0.00
Co 0.000 0.007 0.007  0.10
Cu 0.500 0.326 0.668  0.00
Dy 0.000 0.408 0.999  0.01
Al 0.500 0.776 0.004  0.00
Al 0.500 0.004 0.776  0.00
Nd 0.000 0.587 0.587  0.01

Values from the calculation:
Its space-group type is Amm2. The crystal system is orthorhombic. The total energy comes out at -43.5 eV/cell.

=====

# 9
The following is a DFT calculation (PBE-GGA) of a relaxed Dy2YAl3CoCu2 crystal.

a b c (Å): 4.043 6.941 6.941
angles (deg): 120.24 90.00 90.00
Positions (direct):
Al 0.500 0.999 0.772
Co 0.000 0.003 0.003
Al 0.500 0.772 0.999
Al 0.500 0.228 0.228
Cu 0.500 0.332 0.668
Y 0.000 0.589 0.589
Dy 0.000 0.000 0.409
Dy 0.000 0.409 0.000
Cu 0.500 0.668 0.332

Values from the calculation:
Its space-group type is Amm2. The crystal system is orthorhombic. The total energy comes out at -45.5 eV/cell.

=====

# 10
The following is a DFT calculation (PBE-GGA) of a relaxed Er2Al4CoCu crystal.

a b c (Å): 6.855 5.430 5.430
angles (deg): 44.05 90.00 90.00
Positions (direct):
Al 0.300 0.652 0.652
Er 0.500 0.935 0.935
Cu 0.500 0.215 0.215
Al 0.191 0.348 0.348
Er 0.000 0.063 0.063
Co 0.000 0.788 0.788
Al 0.700 0.652 0.652
Al 0.809 0.348 0.348

Values from the calculation:
Its space-group type is Amm2. The crystal system is orthorhombic. The total energy comes out at -39.1 eV/cell.

=====

# 11
The following is a DFT calculation (PBE-GGA) of a relaxed Gd2ErAl3CoCu2 crystal.

a b c (Å): 4.059 6.962 6.962
angles (deg): 120.27 90.00 90.00
Each line ends with the local moment (μB).
Positions (direct):
Al 0.500 0.998 0.772  0.00
Co 0.000 0.996 0.996  0.06
Al 0.500 0.772 0.998  0.00
Cu 0.500 0.337 0.665  0.00
Er 0.000 0.592 0.592  0.01
Gd 0.000 0.001 0.411  0.01
Gd 0.000 0.411 0.001  0.00
Cu 0.500 0.665 0.337  0.00
Al 0.500 0.228 0.228  0.00

Values from the calculation:
Its space-group type is Amm2. The crystal system is orthorhombic. The total energy comes out at -43.6 eV/cell.

=====

# 12
The following is a DFT calculation (PBE-GGA) of a relaxed HoEr2Al3CoCu2 crystal.

a b c (Å): 3.912 6.985 6.985
angles (deg): 119.98 90.00 90.00
Positions (direct):
Al 0.500 0.768 0.768
Ho 0.000 0.412 0.412
Al 0.500 0.232 0.000
Cu 0.500 0.333 0.667
Er 0.000 0.588 0.000
Er 0.000 0.000 0.588
Al 0.500 0.000 0.232
Cu 0.500 0.667 0.333
Co 0.000 0.999 0.999

Values from the calculation:
Its space-group type is Amm2. The crystal system is orthorhombic. The total energy comes out at -43.6 eV/cell.

=====

# 13
The following is a DFT calculation (PBE-GGA) of a relaxed YEr2Al3CoCu2 crystal.

a b c (Å): 4.050 6.903 6.903
angles (deg): 120.22 90.00 90.00
Each line ends with the local moment (μB).
Positions (direct):
Y 0.000 0.589 0.589  0.01
Co 0.000 0.007 0.007  0.10
Cu 0.500 0.330 0.669  0.00
Al 0.500 0.999 0.771  0.00
Cu 0.500 0.669 0.330  0.00
Al 0.500 0.771 0.999  0.00
Er 0.000 0.407 0.999  0.01
Al 0.500 0.229 0.229  0.00
Er 0.000 0.999 0.407  0.01

Values from the calculation:
Its space-group type is Amm2. The crystal system is orthorhombic. The total energy comes out at -45.5 eV/cell.

=====

# 14
The following is a DFT calculation (PBE-GGA) of a relaxed Al2FeCoCu4 crystal.

a b c (Å): 7.165 7.165 7.165
angles (deg): 133.67 133.67 67.61
Each line ends with the local moment (μB).
Positions (direct):
Al 0.751 0.251 0.500  -0.01
Cu 0.625 0.625 0.500  0.01
Fe 0.000 0.500 0.500  2.38
Al 0.501 0.501 0.000  -0.01
Cu 0.875 0.875 0.500  0.01
Al 0.249 0.749 0.500  -0.01
Al 0.999 0.999 0.000  -0.01
Cu 0.125 0.625 0.000  0.01
Fe 0.750 0.750 0.000  2.38
Cu 0.125 0.125 0.500  0.01
Co 0.250 0.250 0.000  0.24
Cu 0.875 0.375 0.000  0.01
Cu 0.375 0.875 0.000  0.01
Co 0.500 0.000 0.500  0.24
Cu 0.375 0.375 0.500  0.01
Cu 0.625 0.125 0.000  0.01

Values from the calculation:
Its space-group type is I4_1/amd. The crystal system is tetragonal. The total energy comes out at -76.1 eV/cell.

=====

# 15
The following is a DFT calculation (PBE-GGA) of a relaxed Al2FeCoCu4 crystal.

a b c (Å): 7.162 7.162 7.162
angles (deg): 133.61 133.61 67.69
Each line ends with the local moment (μB).
Positions (direct):
Cu 0.875 0.374 0.999  0.01
Al 0.500 0.500 0.000  -0.01
Al 0.250 0.750 0.500  -0.01
Cu 0.126 0.625 0.001  0.02
Al 0.000 0.000 0.000  -0.01
Cu 0.375 0.876 0.001  0.02
Cu 0.624 0.125 0.999  0.01
Co 0.750 0.750 0.000  0.64
Cu 0.875 0.876 0.501  0.01
Cu 0.126 0.125 0.501  0.01
Co 0.000 0.500 0.500  0.64
Fe 0.250 0.250 0.000  2.37
Fe 0.500 0.000 0.500  2.37
Cu 0.624 0.625 0.499  0.02
Cu 0.375 0.374 0.499  0.02
Al 0.750 0.250 0.500  -0.01

Values from the calculation:
Its space-group type is I4_1/amd. The crystal system is tetragonal. The total energy comes out at -76.2 eV/cell.

=====

# 16
The following is a DFT calculation (PBE-GGA) of a relaxed Al2FeCoCu4 crystal.

a b c (Å): 4.097 4.097 5.754
angles (deg): 90.00 90.00 90.00
Each line ends with the local moment (μB).
Positions (direct):
Cu 0.000 0.500 0.251  0.00
Al 0.000 0.000 0.000  -0.02
Cu 0.500 0.000 0.251  0.02
Fe 0.000 0.000 0.500  2.48
Cu 0.500 0.000 0.749  0.02
Co 0.500 0.500 0.000  0.58
Cu 0.000 0.500 0.749  0.00
Al 0.500 0.500 0.500  -0.01

Values from the calculation:
Its space-group type is P4/mmm. The crystal system is tetragonal. The total energy comes out at -38.1 eV/cell.

=====

# 17
The following is a DFT calculation (PBE-GGA) of a relaxed HfAlCoCu crystal.

a b c (Å): 4.128 4.128 7.995
angles (deg): 90.00 90.00 120.00
Positions (direct):
Cu 0.667 0.333 0.085
Hf 0.667 0.333 0.733
Al 0.000 0.000 0.000
Cu 0.333 0.667 0.915
Co 0.667 0.333 0.410
Al 0.000 0.000 0.500
Hf 0.333 0.667 0.267
Co 0.333 0.667 0.590

Values from the calculation:
Its space-group type is P-3m1. The crystal system is trigonal. The total energy comes out at -52.4 eV/cell.

=====

# 18
The following is a DFT calculation (PBE-GGA) of a relaxed Hf2Al2CoCu2Pd crystal.

a b c (Å): 4.383 4.383 6.252
angles (deg): 90.00 90.00 90.00
Positions (direct):
Pd 0.000 0.000 0.500
Cu 0.500 0.500 0.500
Al 0.000 0.500 0.757
Al 0.500 0.000 0.243
Co 0.500 0.500 0.000
Hf 0.500 0.000 0.764
Cu 0.000 0.000 0.000
Hf 0.000 0.500 0.236

Values from the calculation:
Its space-group type is P-4m2. The crystal system is tetragonal. The total energy comes out at -51.1 eV/cell.

=====

# 19
The following is a DFT calculation (PBE-GGA) of a relaxed Hf2ZrAl3CoCu2 crystal.

a b c (Å): 4.017 6.457 6.457
angles (deg): 120.47 90.00 90.00
Positions (direct):
Al 0.500 0.241 0.001
Hf 0.000 0.594 0.001
Hf 0.000 0.001 0.594
Cu 0.500 0.332 0.670
Al 0.500 0.001 0.241
Co 0.000 0.994 0.994
Al 0.500 0.758 0.758
Zr 0.000 0.409 0.409
Cu 0.500 0.670 0.332

Values from the calculation:
Its space-group type is Amm2. The crystal system is orthorhombic. The total energy comes out at -58.5 eV/cell.